[1]
! PBE Al2ReRu, relaxed; values from VASP
! - Space-group type: I-42d (122)
! - Formation enthalpy at 0 K: 0.417 eV per atom
! - Density: 9.11 g cm⁻³
&SYSTEM
  ibrav = 0, nat = 16, ntyp = 3
/
ATOMIC_SPECIES
Al 26.98 Al.upf
Re 186.21 Re.upf
Ru 101.07 Ru.upf
ATOMIC_POSITIONS crystal
Al 0.2377 0.2500 0.1250
Al 0.2500 0.7377 0.3750
Al 0.2500 0.7623 0.8750
Al 0.2623 0.2500 0.6250
Al 0.7377 0.7500 0.6250
Al 0.7500 0.2377 0.8750
Al 0.7500 0.2623 0.3750
Al 0.7623 0.7500 0.1250
Re 0.0000 0.0000 0.5000
Re 0.0000 0.5000 0.7500
Re 0.5000 0.0000 0.2500
Re 0.5000 0.5000 0.0000
Ru 0.0000 0.0000 0.0000
Ru 0.0000 0.5000 0.2500
Ru 0.5000 0.0000 0.7500
Ru 0.5000 0.5000 0.5000
CELL_PARAMETERS angstrom
6.7719 0.0000 0.0000
0.0000 6.7719 0.0000
0.0000 0.0000 5.4270



[2]
! PBE AlRe2Ru, relaxed; values from VASP
! - Space-group type: R-3m (166)
! - Formation enthalpy at 0 K: -0.026 eV per atom
! - Density: 14.17 g cm⁻³
&SYSTEM
  ibrav = 0, nat = 12, ntyp = 3
/
ATOMIC_SPECIES
Al 26.98 Al.upf
Re 186.21 Re.upf
Ru 101.07 Ru.upf
ATOMIC_POSITIONS crystal
Al 0.0000 0.0000 0.0000
Al 0.3333 0.6667 0.6667
Al 0.6667 0.3333 0.3333
Re 0.0000 0.0000 0.2484
Re 0.0000 0.0000 0.7516
Re 0.3333 0.6667 0.4183
Re 0.3333 0.6667 0.9151
Re 0.6667 0.3333 0.0849
Re 0.6667 0.3333 0.5817
Ru 0.0000 0.0000 0.5000
Ru 0.3333 0.6667 0.1667
Ru 0.6667 0.3333 0.8333
CELL_PARAMETERS angstrom
2.7795 0.0000 0.0000
-1.3898 2.4071 0.0000
0.0000 0.0000 26.2967



Across the entries above, total energy takes the values -110.167, -114.055 eV per cell, respectively.